[1]
{"formula": "LiSmTh2S5", "functional": "GGA-PBE", "state": "relaxed", "lattice": [[-0.611, -0.813, -3.799], [0.458, -7.669, 3.602], [-11.873, 0.170, 1.873]], "species": ["Li", "Li", "Sm", "Sm", "Th", "Th", "Th", "Th", "S", "S", "S", "S", "S", "S", "S", "S", "S", "S"], "fractional_positions": [[0.509, 0.017, 0.984], [0.491, 0.983, 0.484], [0.807, 0.614, 0.498], [0.193, 0.386, 0.998], [0.873, 0.747, 0.800], [0.114, 0.227, 0.681], [0.127, 0.253, 0.300], [0.886, 0.773, 0.181], [0.361, 0.723, 0.000], [0.693, 0.385, 0.834], [0.501, 0.002, 0.788], [0.294, 0.588, 0.663], [0.961, 0.922, 0.576], [0.639, 0.277, 0.500], [0.307, 0.615, 0.334], [0.499, 0.998, 0.288], [0.706, 0.412, 0.163], [0.039, 0.078, 0.076]], "energy_ev_per_atom": -6.483, "spacegroup": "Cmc2_1 (36)"}



[2]
{"formula": "LiSm3Th4S8", "functional": "GGA-PBE", "state": "relaxed", "lattice": [[7.933, 0.000, 0.000], [0.000, 8.082, 0.098], [-3.967, -3.962, 5.613]], "species": ["Li", "Sm", "Sm", "Sm", "Th", "Th", "Th", "Th", "S", "S", "S", "S", "S", "S", "S", "S"], "fractional_positions": [[0.000, 0.500, 0.000], [0.500, 0.500, 0.000], [0.500, 0.500, 0.500], [0.000, 0.500, 0.500], [0.500, 0.000, 0.000], [0.500, 0.000, 0.500], [0.000, 0.000, 0.000], [0.000, 0.000, 0.500], [0.241, 0.738, 0.997], [0.241, 0.738, 0.482], [0.252, 0.255, 0.504], [0.756, 0.738, 0.997], [0.244, 0.262, 0.003], [0.748, 0.745, 0.496], [0.759, 0.262, 0.518], [0.759, 0.262, 0.003]], "energy_ev_per_atom": -6.784, "spacegroup": "R-3m (166)"}



[3]
{"formula": "Li3Sm2TiS6", "functional": "GGA-PBE", "state": "relaxed", "lattice": [[6.684, -0.001, 0.014], [-3.341, 5.789, 0.014], [-1.101, -1.906, 6.155]], "species": ["Li", "Li", "Li", "Sm", "Sm", "Ti", "S", "S", "S", "S", "S", "S"], "fractional_positions": [[0.154, 0.846, 0.500], [0.846, 0.154, 0.500], [0.500, 0.500, 0.500], [0.331, 0.669, 0.000], [0.669, 0.331, 0.000], [0.000, 0.000, 0.000], [0.916, 0.611, 0.750], [0.773, 0.773, 0.242], [0.084, 0.389, 0.250], [0.611, 0.916, 0.750], [0.227, 0.227, 0.758], [0.389, 0.084, 0.250]], "energy_ev_per_atom": -5.609, "spacegroup": "C2/m (12)"}



[4]
{"formula": "LiSm2TlS4", "functional": "GGA-PBE", "state": "relaxed", "lattice": [[4.103, 0.000, 0.000], [-2.051, 6.863, 0.000], [0.000, 0.000, 14.251]], "species": ["Li", "Li", "Sm", "Sm", "Sm", "Sm", "Tl", "Tl", "S", "S", "S", "S", "S", "S", "S", "S"], "fractional_positions": [[0.829, 0.657, 0.750], [0.171, 0.343, 0.250], [0.366, 0.732, 0.560], [0.634, 0.268, 0.060], [0.634, 0.268, 0.440], [0.366, 0.732, 0.940], [0.099, 0.198, 0.750], [0.901, 0.802, 0.250], [0.261, 0.523, 0.108], [0.739, 0.477, 0.608], [0.739, 0.477, 0.892], [0.261, 0.523, 0.392], [0.000, 0.000, 0.500], [0.000, 0.000, 0.000], [0.423, 0.846, 0.750], [0.577, 0.154, 0.250]], "energy_ev_per_atom": -5.406, "spacegroup": "Cmcm (63)"}



[5]
{"formula": "Li4SmTm3S8", "functional": "GGA-PBE", "state": "relaxed", "lattice": [[-5.698, -5.276, -0.658], [5.210, -5.572, -0.444], [0.016, 4.993, 5.981]], "species": ["Li", "Li", "Li", "Li", "Sm", "Tm", "Tm", "Tm", "S", "S", "S", "S", "S", "S", "S", "S"], "fractional_positions": [[0.500, 0.000, 0.000], [0.500, 0.000, 0.500], [0.000, 0.000, 0.000], [0.000, 0.000, 0.500], [0.000, 0.500, 0.000], [0.500, 0.500, 0.000], [0.500, 0.500, 0.500], [0.000, 0.500, 0.500], [0.254, 0.750, 0.997], [0.254, 0.750, 0.508], [0.251, 0.253, 0.502], [0.742, 0.750, 0.997], [0.258, 0.250, 0.003], [0.749, 0.747, 0.498], [0.746, 0.250, 0.492], [0.746, 0.250, 0.003]], "energy_ev_per_atom": -5.520, "spacegroup": "R-3m (166)"}



[6]
{"formula": "LiSmTmS3", "functional": "GGA-PBE", "state": "relaxed", "lattice": [[3.818, 0.000, 0.000], [0.000, 8.010, 0.126], [0.000, -1.984, 8.127]], "species": ["Li", "Li", "Sm", "Sm", "Tm", "Tm", "S", "S", "S", "S", "S", "S"], "fractional_positions": [[0.250, 0.087, 0.584], [0.750, 0.913, 0.416], [0.250, 0.189, 0.223], [0.750, 0.811, 0.777], [0.250, 0.664, 0.165], [0.750, 0.336, 0.835], [0.750, 0.902, 0.132], [0.250, 0.098, 0.868], [0.250, 0.781, 0.501], [0.750, 0.219, 0.499], [0.750, 0.431, 0.170], [0.250, 0.569, 0.830]], "energy_ev_per_atom": -5.729, "spacegroup": "P2_1/m (11)"}



[7]
{"formula": "LiSmTm4S8", "functional": "GGA-PBE", "state": "relaxed", "lattice": [[7.918, 0.000, 0.000], [3.959, 6.857, 0.000], [3.959, 2.286, 6.568]], "species": ["Li", "Sm", "Tm", "Tm", "Tm", "Tm", "S", "S", "S", "S", "S", "S", "S", "S"], "fractional_positions": [[0.375, 0.375, 0.874], [0.004, 0.004, 0.988], [0.626, 0.626, 0.122], [0.005, 0.486, 0.505], [0.486, 0.005, 0.505], [0.005, 0.005, 0.505], [0.248, 0.768, 0.735], [0.768, 0.248, 0.735], [0.248, 0.248, 0.735], [0.242, 0.242, 0.273], [0.753, 0.228, 0.267], [0.228, 0.753, 0.267], [0.753, 0.753, 0.267], [0.759, 0.759, 0.724]], "energy_ev_per_atom": -6.072, "spacegroup": "R3m (160)"}



[8]
{"formula": "LiSmTm2S4", "functional": "GGA-PBE", "state": "relaxed", "lattice": [[-1.949, 3.285, 0.601], [-3.680, -3.050, 4.735], [5.471, 2.725, 2.847]], "species": ["Li", "Sm", "Tm", "Tm", "S", "S", "S", "S"], "fractional_positions": [[0.500, 0.500, 0.000], [0.000, 0.000, 0.000], [0.500, 0.000, 0.500], [0.000, 0.500, 0.500], [0.500, 0.261, 0.258], [0.500, 0.739, 0.742], [0.000, 0.255, 0.745], [0.000, 0.745, 0.255]], "energy_ev_per_atom": -5.931, "spacegroup": "P2/m (10)"}



[9]
{"formula": "Li3Sm2TmS6", "functional": "GGA-PBE", "state": "relaxed", "lattice": [[-5.648, -3.732, 1.106], [2.622, 0.473, -6.321], [4.508, -3.905, 2.808]], "species": ["Li", "Li", "Li", "Sm", "Sm", "Tm", "S", "S", "S", "S", "S", "S"], "fractional_positions": [[0.160, 0.840, 0.500], [0.840, 0.160, 0.500], [0.500, 0.500, 0.500], [0.333, 0.667, 0.000], [0.667, 0.333, 0.000], [0.000, 0.000, 0.000], [0.916, 0.592, 0.747], [0.759, 0.759, 0.251], [0.084, 0.408, 0.253], [0.592, 0.916, 0.747], [0.241, 0.241, 0.749], [0.408, 0.084, 0.253]], "energy_ev_per_atom": -5.523, "spacegroup": "C2/m (12)"}



[10]
{"formula": "LiSm2TmS4", "functional": "GGA-PBE", "state": "relaxed", "lattice": [[3.917, 0.000, 0.000], [0.000, 6.760, 0.116], [0.000, -2.365, 6.373]], "species": ["Li", "Sm", "Sm", "Tm", "S", "S", "S", "S"], "fractional_positions": [[0.000, 0.000, 0.000], [0.500, 0.000, 0.500], [0.000, 0.500, 0.500], [0.500, 0.500, 0.000], [0.500, 0.245, 0.235], [0.500, 0.755, 0.765], [0.000, 0.253, 0.766], [0.000, 0.747, 0.234]], "energy_ev_per_atom": -5.964, "spacegroup": "P2/m (10)"}



[11]
{"formula": "LiSm2US4", "functional": "GGA-PBE", "state": "relaxed", "lattice": [[3.924, 0.000, 0.000], [0.000, 6.825, 0.132], [0.000, -2.375, 6.383]], "species": ["Li", "Sm", "Sm", "U", "S", "S", "S", "S"], "fractional_positions": [[0.000, 0.000, 0.000], [0.500, 0.000, 0.500], [0.000, 0.500, 0.500], [0.500, 0.500, 0.000], [0.500, 0.243, 0.237], [0.500, 0.757, 0.763], [0.000, 0.249, 0.762], [0.000, 0.751, 0.238]], "energy_ev_per_atom": -6.613, "spacegroup": "P2/m (10)"}



[12]
{"formula": "LiSmU2S4", "functional": "GGA-PBE", "state": "relaxed", "lattice": [[3.843, 0.000, 0.000], [0.000, 6.652, 0.111], [0.000, -2.332, 6.530]], "species": ["Li", "Sm", "U", "U", "S", "S", "S", "S"], "fractional_positions": [[0.500, 0.500, 0.000], [0.000, 0.000, 0.000], [0.500, 0.000, 0.500], [0.000, 0.500, 0.500], [0.500, 0.260, 0.249], [0.500, 0.740, 0.751], [0.000, 0.260, 0.755], [0.000, 0.740, 0.245]], "energy_ev_per_atom": -7.235, "spacegroup": "P2/m (10)"}